(1)
Crystalline MgGaPb2 at its relaxed geometry, computed with PBE.

Lattice parameters (Å, degrees): 6.6710 6.6710 6.6710 40.68 40.68 40.68
Element x y z (fractional)
Mg 0.0000 0.0000 0.0000
Ga 0.8332 0.8332 0.8332
Pb 0.2424 0.2424 0.2424
Pb 0.4245 0.4245 0.4245

E above lowest polymorph   0.40 eV/f.u.
Total energy   -11.58 eV per formula unit
Size of the total moment   0.00 μB/f.u.
Formation energy from the elements   0.115 eV/atom
Space-group type   No. 160

***

(2)
Crystalline MgSc3Ga2 at its relaxed geometry, computed with PBE.

Lattice parameters (Å, degrees): 4.8201 4.8201 11.8323 90.00 90.00 120.00
Element x y z (fractional)
Mg 0.3333 0.6667 0.1709
Mg 0.6667 0.3333 0.8291
Sc 0.0000 0.0000 0.2594
Sc 0.0000 0.0000 0.7406
Sc 0.3333 0.6667 0.4258
Sc 0.3333 0.6667 0.9195
Sc 0.6667 0.3333 0.0805
Sc 0.6667 0.3333 0.5742
Ga 0.0000 0.0000 0.0000
Ga 0.0000 0.0000 0.5000
Ga 0.3333 0.6667 0.6790
Ga 0.6667 0.3333 0.3210

E above lowest polymorph   0.00 eV/f.u.
Total energy   -29.30 eV per formula unit
Size of the total moment   0.00 μB/f.u.
Formation energy from the elements   -0.443 eV/atom
Space-group type   No. 164

***

(3)
Crystalline Ba3NaU2S9 at its relaxed geometry, computed with PBE.

Lattice parameters (Å, degrees): 7.3023 7.3023 9.0491 90.00 90.00 120.00
Element x y z (fractional)
Ba 0.0000 0.0000 0.0000
Ba 0.3333 0.6667 0.6394
Ba 0.6667 0.3333 0.3606
Na 0.0000 0.0000 0.5000
U 0.3333 0.6667 0.1713
U 0.6667 0.3333 0.8287
S 0.0000 0.5000 0.0000
S 0.1703 0.3405 0.3262
S 0.1703 0.8297 0.3262
S 0.3405 0.1703 0.6738
S 0.5000 0.0000 0.0000
S 0.5000 0.5000 0.0000
S 0.6595 0.8297 0.3262
S 0.8297 0.1703 0.6738
S 0.8297 0.6595 0.6738

Total energy   -90.43 eV per formula unit
Size of the total moment   1.01 μB/f.u.
Space-group type   No. 164
Formation energy (no corrections)   -1574.5 meV/atom